# B2C

A relaxed structure of B2C (PBE, the Alexandria database).

Values from the calculation:
The distance to the lowest polymorph of the same formula is 256 meV/atom. The mass density comes out at 2.8 g/cm³. The energy of formation is 441.3 meV per atom. The density of states at the Fermi level is 1.902 states/eV/cell.

Cell: 6.6927 6.6927 5.0595 Å, 71.20 71.20 22.02°
With the nearest neighbours (Å) after each atom.
Atoms (fractional coordinates):
B 0.4115 0.4115 0.7960  3 C 1.62-1.72, 1 B 1.80
B 0.4396 0.4396 0.1207  4 B 1.65-1.83
B 0.5604 0.5604 0.8793  4 B 1.65-1.83
B 0.5885 0.5885 0.2040  3 C 1.62-1.72, 1 B 1.80
B 0.7338 0.7338 0.3955  1 C 1.62, 2 B 1.80
B 0.8742 0.8742 0.3803  1 C 1.59
B 0.1258 0.1258 0.6197  1 C 1.59
B 0.2662 0.2662 0.6045  1 C 1.62, 2 B 1.80
C 0.7268 0.7268 0.0814  2 C 1.53, 2 B 1.62-1.72
C 0.9426 0.9426 0.5876  1 C 1.48, 3 B 1.59-1.62
C 0.0574 0.0574 0.4124  1 C 1.48, 3 B 1.59-1.62
C 0.2732 0.2732 0.9186  2 C 1.53, 2 B 1.62-1.72